Density functional theory data (SCAN) for LaRuCl2 at its PBEsol-relaxed geometry.

Energy relative to the elements, uncorrected: -0.99 eV/atom
Energy relative to the lowest polymorph listed for this composition: 0 meV/atom
Calculated volume: 92.6 Å³/cell
D(E_F): 0.4777 states/eV/atom

abc: 4.0578 4.0578 6.9010
angles: 72.90 72.90 60.00
Last column: nearest neighbours and their distance in Å.
Fractional positions:
Ru: 0.2691 0.2691 0.1928  3 Cl 2.37
Cl: 0.9530 0.9530 0.1409  3 Ru 2.37
Cl: 0.7604 0.7604 0.7189  3 La 2.93
La: 0.5175 0.5175 0.4474  3 Ru 2.87, 6 Cl 2.93-3.07